A plane-wave DFT calculation with meta-GGA SCAN was carried out for K2RbTbCl6 at its PBEsol-relaxed geometry.

Unit cell a=7.973 b=7.973 c=7.973 alpha=60.00 beta=60.00 gamma=60.00
Fractional positions:
K: 0.250 0.250 0.250
K: 0.750 0.750 0.750
Rb: 0.000 0.000 0.000
Tb: 0.500 0.500 0.500
Cl: 0.269 0.269 0.731
Cl: 0.269 0.731 0.269
Cl: 0.269 0.731 0.731
Cl: 0.731 0.269 0.269
Cl: 0.731 0.269 0.731
Cl: 0.731 0.731 0.269

Output
calculated volume	35.83	Å³/atom
total moment	0.00	μB/f.u.



A plane-wave DFT calculation with meta-GGA SCAN was carried out for K2RbTmCl6 at its PBEsol-relaxed geometry.

Unit cell a=7.898 b=7.898 c=7.898 alpha=60.00 beta=60.00 gamma=60.00
Fractional positions:
K: 0.250 0.250 0.250
K: 0.750 0.750 0.750
Rb: 0.000 0.000 0.000
Tm: 0.500 0.500 0.500
Cl: 0.271 0.271 0.729
Cl: 0.271 0.729 0.271
Cl: 0.271 0.729 0.729
Cl: 0.729 0.271 0.271
Cl: 0.729 0.271 0.729
Cl: 0.729 0.729 0.271

Output
calculated volume	34.84	Å³/atom
total moment	0.00	μB/f.u.



A plane-wave DFT calculation with meta-GGA SCAN was carried out for KRe2Cl at its PBEsol-relaxed geometry.

Unit cell a=3.065 b=8.515 c=8.515 alpha=20.95 beta=90.00 gamma=90.00
Fractional positions:
K: 0.000 0.000 0.000
Re: 0.000 0.249 0.249
Re: 0.500 0.672 0.672
Cl: 0.500 0.377 0.377

Output
calculated volume	19.87	Å³/atom
total moment	0.00	μB/f.u.



A plane-wave DFT calculation with meta-GGA SCAN was carried out for K2ReCl at its PBEsol-relaxed geometry.

Unit cell a=6.044 b=6.044 c=2.839 alpha=90.00 beta=90.00 gamma=90.14
Fractional positions:
K: 0.000 0.500 0.000
K: 0.500 0.000 0.000
Re: 0.000 0.000 0.500
Cl: 0.500 0.500 0.500

Output
calculated volume	25.93	Å³/atom
total moment	2.36	μB/f.u.



A plane-wave DFT calculation with meta-GGA SCAN was carried out for KRh2Cl at its PBEsol-relaxed geometry.

Unit cell a=6.245 b=6.245 c=6.245 alpha=145.14 beta=145.14 gamma=50.12
Fractional positions:
K: 0.000 0.000 0.000
Rh: 0.250 0.750 0.500
Rh: 0.750 0.250 0.500
Cl: 0.500 0.500 0.000

Output
calculated volume	19.80	Å³/atom
total moment	2.62	μB/f.u.
offset from the most stable computed form	0	meV/atom



A plane-wave DFT calculation with meta-GGA SCAN was carried out for KRh2Cl at its PBEsol-relaxed geometry.

Unit cell a=4.585 b=4.585 c=4.585 alpha=60.00 beta=60.00 gamma=60.00
Fractional positions:
K: 0.000 0.000 0.000
Rh: 0.250 0.250 0.250
Rh: 0.750 0.750 0.750
Cl: 0.500 0.500 0.500

Output
calculated volume	17.04	Å³/atom
total moment	2.17	μB/f.u.
offset from the most stable computed form	619	meV/atom



A plane-wave DFT calculation with meta-GGA SCAN was carried out for KZrRhCl2 at its PBEsol-relaxed geometry.

Unit cell a=4.806 b=4.806 c=5.256 alpha=90.00 beta=90.00 gamma=90.00
Fractional positions:
K: 0.000 0.000 0.000
Zr: 0.500 0.500 0.000
Rh: 0.000 0.000 0.500
Cl: 0.000 0.500 0.500
Cl: 0.500 0.000 0.500

Output
calculated volume	24.28	Å³/atom
total moment	3.50	μB/f.u.



A plane-wave DFT calculation with meta-GGA SCAN was carried out for KRuCl at its PBEsol-relaxed geometry.

Unit cell a=4.927 b=4.927 c=4.927 alpha=60.00 beta=60.00 gamma=60.00
Fractional positions:
K: 0.000 0.000 0.000
Ru: 0.750 0.750 0.750
Cl: 0.250 0.250 0.250

Output
calculated volume	28.19	Å³/atom
total moment	2.26	μB/f.u.
offset from the most stable computed form	544	meV/atom



A plane-wave DFT calculation with meta-GGA SCAN was carried out for KRu2Cl at its PBEsol-relaxed geometry.

Unit cell a=5.490 b=5.490 c=5.490 alpha=142.14 beta=114.04 gamma=78.65
Fractional positions:
K: 0.000 0.000 0.000
Ru: 0.343 0.843 0.500
Ru: 0.509 0.509 0.000
Cl: 0.710 0.210 0.500

Output
calculated volume	22.60	Å³/atom
total moment	1.57	μB/f.u.
offset from the most stable computed form	16	meV/atom



A plane-wave DFT calculation with meta-GGA SCAN was carried out for KRu4Cl at its PBEsol-relaxed geometry.

Unit cell a=5.246 b=5.246 c=5.246 alpha=60.00 beta=60.00 gamma=60.00
Fractional positions:
K: 0.000 0.000 0.000
Ru: 0.376 0.376 0.376
Ru: 0.376 0.376 0.873
Ru: 0.376 0.873 0.376
Ru: 0.873 0.376 0.376
Cl: 0.750 0.750 0.750

Output
calculated volume	17.02	Å³/atom
total moment	6.69	μB/f.u.



A plane-wave DFT calculation with meta-GGA SCAN was carried out for KRu2Cl at its PBEsol-relaxed geometry.

Unit cell a=6.993 b=6.993 c=2.501 alpha=90.00 beta=90.00 gamma=137.24
Fractional positions:
K: 0.000 0.000 0.000
Ru: 0.000 0.500 0.500
Ru: 0.500 0.000 0.500
Cl: 0.500 0.500 0.000

Output
calculated volume	20.76	Å³/atom
total moment	0.00	μB/f.u.
offset from the most stable computed form	394	meV/atom



A plane-wave DFT calculation with meta-GGA SCAN was carried out for K2RuCl at its PBEsol-relaxed geometry.

Unit cell a=3.169 b=5.774 c=5.774 alpha=90.00 beta=90.00 gamma=90.00
Fractional positions:
K: 0.000 0.000 0.000
K: 0.000 0.500 0.498
Ru: 0.500 0.500 0.997
Cl: 0.500 0.000 0.500

Output
calculated volume	26.42	Å³/atom
total moment	2.55	μB/f.u.
offset from the most stable computed form	0	meV/atom



no.,formation energy from raw total energies (meV/atom)
1,-2248.6
2,-2260.9
3,75.0
4,607.7
5,354.1
6,972.7
7,432.6
8,874.3
9,622.7
10,1178.4
11,1001.0
12,36.9